{"formula": "FeCoSb4", "functional": "meta-GGA SCAN", "state": "PBEsol geometry", "polymorph_energy_mev_per_atom": 0, "spacegroup": "P2/m", "lattice": [[3.218, 0.000, 0.000], [0.000, 5.670, -0.001], [0.000, -0.016, 6.386]], "species": ["Sb", "Sb", "Sb", "Sb", "Co", "Fe"], "fractional_positions": [[0.500, 0.695, 0.145], [0.500, 0.305, 0.855], [0.000, 0.196, 0.354], [0.000, 0.804, 0.646], [0.500, 0.500, 0.500], [0.000, 0.000, 0.000]]}

---

{"formula": "FeCo2Sb", "functional": "meta-GGA SCAN", "state": "PBEsol geometry", "final_energy_ev_per_cell": -88.30, "spacegroup": "R-3m", "lattice": [[2.936, 0.000, 0.000], [1.468, 2.542, 0.000], [1.468, 0.847, 7.446]], "species": ["Co", "Co", "Fe", "Sb"], "fractional_positions": [[0.244, 0.244, 0.269], [0.756, 0.756, 0.731], [0.500, 0.500, 0.500], [0.000, 0.000, 0.000]]}

---

- Number 1 is which compound?
  FeCoSb4